{
  "formula": "NiRh6W",
  "functional": "PBE-GGA",
  "state": "optimized geometry",
  "lattice": [[3.701, 0.000, 1.010], [1.703, 4.244, 1.048], [0.032, -0.081, 7.169]],
  "species": ["W", "Rh", "Rh", "Rh", "Rh", "Ni", "Rh", "Rh"],
  "fractional_positions": [[0.000, 0.000, 0.000], [0.749, 0.127, 0.376], [0.499, 0.754, 0.249], [0.251, 0.873, 0.624], [0.750, 0.626, 0.874], [0.000, 0.500, 0.500], [0.250, 0.374, 0.126], [0.501, 0.246, 0.751]],
  "vol_a3_per_fu": 113,
  "dos_ef_per_ev_fu": 10.74,
  "ef_kcal_per_mol_atoms": -2.2,
  "dft_energy_ev_per_atom": -7.95
}

=====

{
  "formula": "Ni3Rh3W2",
  "functional": "PBE-GGA",
  "state": "optimized geometry",
  "lattice": [[-4.491, -1.173, 1.163], [1.894, -3.285, 2.918], [-0.067, 2.934, 3.779]],
  "species": ["Ni", "Rh", "W", "Ni", "Rh", "W", "Rh", "Ni"],
  "fractional_positions": [[0.229, 0.771, 0.500], [0.000, 0.276, 0.276], [0.745, 0.745, 0.255], [0.771, 0.500, 0.771], [0.276, 0.724, 0.000], [0.255, 0.255, 0.745], [0.724, 0.000, 0.724], [0.500, 0.229, 0.229]],
  "vol_a3_per_fu": 109,
  "dos_ef_per_ev_fu": 6.24,
  "ef_kcal_per_mol_atoms": -2.0,
  "dft_energy_ev_per_atom": -8.25
}

=====

{
  "formula": "Y2NiRh",
  "functional": "PBE-GGA",
  "state": "optimized geometry",
  "lattice": [[3.414, 0.000, 0.000], [0.000, 3.414, 0.000], [0.000, 0.000, 6.860]],
  "species": ["Ni", "Y", "Y", "Rh"],
  "fractional_positions": [[0.500, 0.500, 0.000], [0.000, 0.000, 0.751], [0.000, 0.000, 0.249], [0.500, 0.500, 0.500]],
  "vol_a3_per_fu": 80,
  "dos_ef_per_ev_fu": 2.40,
  "ef_kcal_per_mol_atoms": -13.9,
  "dft_energy_ev_per_atom": -7.12
}

=====

{
  "formula": "Y4NiRh",
  "functional": "PBE-GGA",
  "state": "optimized geometry",
  "lattice": [[5.696, 1.447, 1.041], [1.354, 3.839, 4.365], [2.716, -1.943, 4.947]],
  "species": ["Y", "Rh", "Y", "Ni", "Y", "Y"],
  "fractional_positions": [[0.375, 0.375, 0.375], [0.000, 0.000, 0.000], [0.876, 0.375, 0.375], [0.750, 0.750, 0.750], [0.375, 0.876, 0.375], [0.375, 0.375, 0.876]],
  "vol_a3_per_fu": 150,
  "dos_ef_per_ev_fu": 10.49,
  "polymorph_energy_mev_per_atom": 1208,
  "ef_kcal_per_mol_atoms": 18.1,
  "dft_energy_ev_per_atom": -5.72
}

=====

{
  "formula": "Y4NiRh",
  "functional": "PBE-GGA",
  "state": "optimized geometry",
  "lattice": [[6.238, 1.030, 0.000], [-0.071, 7.292, 0.000], [-3.084, -4.161, 6.642]],
  "species": ["Y", "Y", "Y", "Rh", "Ni", "Y", "Y", "Y", "Y", "Ni", "Y", "Rh"],
  "fractional_positions": [[0.292, 0.454, 0.637], [0.504, 0.142, 0.878], [0.126, 0.264, 0.122], [0.112, 0.862, 0.724], [0.753, 0.503, 0.006], [0.155, 0.817, 0.363], [0.845, 0.183, 0.637], [0.708, 0.546, 0.363], [0.496, 0.858, 0.122], [0.247, 0.497, 0.994], [0.874, 0.736, 0.878], [0.888, 0.138, 0.276]],
  "vol_a3_per_fu": 151,
  "dos_ef_per_ev_fu": 6.60,
  "polymorph_energy_mev_per_atom": 0,
  "ef_kcal_per_mol_atoms": -9.8,
  "dft_energy_ev_per_atom": -6.92
}

=====

{
  "formula": "YNi2Rh2",
  "functional": "PBE-GGA",
  "state": "optimized geometry",
  "lattice": [[7.135, 0.000, 0.000], [0.000, 7.135, 0.000], [0.000, 0.000, 2.990]],
  "species": ["Y", "Rh", "Ni", "Ni", "Ni", "Rh", "Rh", "Rh", "Y", "Ni"],
  "fractional_positions": [[0.500, 0.500, 0.000], [0.826, 0.326, 0.500], [0.379, 0.879, 0.000], [0.121, 0.379, 0.000], [0.621, 0.121, 0.000], [0.674, 0.826, 0.500], [0.174, 0.674, 0.500], [0.326, 0.174, 0.500], [0.000, 0.000, 0.000], [0.879, 0.621, 0.000]],
  "vol_a3_per_fu": 76,
  "dos_ef_per_ev_fu": 7.15,
  "polymorph_energy_mev_per_atom": 54,
  "ef_kcal_per_mol_atoms": -4.2,
  "dft_energy_ev_per_atom": -6.73
}

=====

{
  "formula": "Y8NiRh2",
  "functional": "PBE-GGA",
  "state": "optimized geometry",
  "lattice": [[6.032, 0.079, -1.002], [-1.950, 6.663, -2.761], [-0.164, -0.085, 7.469]],
  "species": ["Y", "Ni", "Y", "Rh", "Y", "Y", "Y", "Y", "Y", "Rh", "Y"],
  "fractional_positions": [[0.986, 0.204, 0.793], [0.178, 0.999, 0.999], [0.986, 0.793, 0.204], [0.485, 0.693, 0.322], [0.587, 0.348, 0.084], [0.368, 0.926, 0.662], [0.368, 0.662, 0.926], [0.800, 0.645, 0.645], [0.587, 0.084, 0.348], [0.485, 0.322, 0.693], [0.171, 0.358, 0.358]],
  "vol_a3_per_fu": 299,
  "dos_ef_per_ev_fu": 11.19,
  "ef_kcal_per_mol_atoms": -7.2,
  "dft_energy_ev_per_atom": -6.88
}

=====

{
  "formula": "Y2NiRh",
  "functional": "PBE-GGA",
  "state": "optimized geometry",
  "lattice": [[4.061, 0.000, 0.000], [0.000, 3.767, 0.000], [0.000, 0.000, 5.714]],
  "species": ["Y", "Ni", "Y", "Rh"],
  "fractional_positions": [[0.000, 0.000, 0.914], [0.000, 0.000, 0.423], [0.500, 0.500, 0.337], [0.500, 0.500, 0.827]],
  "vol_a3_per_fu": 87,
  "dos_ef_per_ev_fu": 2.57,
  "ef_kcal_per_mol_atoms": -8.8,
  "dft_energy_ev_per_atom": -6.90
}

=====

{
  "formula": "Y2NiRh",
  "functional": "PBE-GGA",
  "state": "optimized geometry",
  "lattice": [[-2.150, -1.963, 2.887], [3.645, -4.302, -0.210], [2.326, 5.182, 5.255]],
  "species": ["Y", "Y", "Rh", "Ni", "Rh", "Y", "Ni", "Y"],
  "fractional_positions": [[0.750, 0.216, 0.429], [0.750, 0.216, 0.930], [0.250, 0.347, 0.713], [0.250, 0.347, 0.210], [0.750, 0.653, 0.287], [0.250, 0.784, 0.571], [0.750, 0.653, 0.790], [0.250, 0.784, 0.070]],
  "vol_a3_per_fu": 84,
  "dos_ef_per_ev_fu": 2.63,
  "ef_kcal_per_mol_atoms": -14.6,
  "dft_energy_ev_per_atom": -7.15
}

=====

{
  "formula": "YNi4Rh2",
  "functional": "PBE-GGA",
  "state": "optimized geometry",
  "lattice": [[4.485, 0.001, 2.398], [2.091, 4.396, 1.478], [0.168, -0.317, 5.075]],
  "species": ["Ni", "Ni", "Ni", "Y", "Rh", "Rh", "Ni"],
  "fractional_positions": [[0.307, 0.386, 0.000], [0.693, 0.614, 0.000], [0.307, 0.000, 0.386], [0.000, 0.000, 0.000], [0.750, 0.500, 0.500], [0.250, 0.500, 0.500], [0.693, 0.000, 0.614]],
  "vol_a3_per_fu": 99,
  "dos_ef_per_ev_fu": 6.99,
  "ef_kcal_per_mol_atoms": -6.1,
  "dft_energy_ev_per_atom": -6.59
}

=====

{
  "formula": "YNiRh",
  "functional": "PBE-GGA",
  "state": "optimized geometry",
  "lattice": [[-0.949, 3.714, 2.186], [-3.887, 0.424, 2.045], [-0.188, -0.022, 4.408]],
  "species": ["Rh", "Ni", "Y"],
  "fractional_positions": [[0.500, 0.500, 0.500], [0.000, 0.000, 0.000], [0.250, 0.250, 0.250]],
  "vol_a3_per_fu": 61,
  "dos_ef_per_ev_fu": 2.36,
  "ef_kcal_per_mol_atoms": 4.7,
  "dft_energy_ev_per_atom": -6.33
}

=====

{
  "formula": "Y2NiRh",
  "functional": "PBE-GGA",
  "state": "optimized geometry",
  "lattice": [[4.740, 0.000, 0.000], [2.370, 4.105, 0.000], [2.370, 1.368, 3.870]],
  "species": ["Y", "Y", "Rh", "Ni"],
  "fractional_positions": [[0.000, 0.000, 0.000], [0.250, 0.250, 0.250], [0.750, 0.750, 0.750], [0.500, 0.500, 0.500]],
  "vol_a3_per_fu": 75,
  "dos_ef_per_ev_fu": 3.19,
  "ef_kcal_per_mol_atoms": -3.8,
  "dft_energy_ev_per_atom": -6.68
}

=====

{
  "formula": "Y2Ni9Rh",
  "functional": "PBE-GGA",
  "state": "optimized geometry",
  "lattice": [[4.908, 0.000, 0.000], [2.454, 4.251, 0.000], [2.454, 1.417, 7.963]],
  "species": ["Y", "Ni", "Ni", "Y", "Ni", "Ni", "Ni", "Rh", "Ni", "Ni", "Ni", "Ni"],
  "fractional_positions": [[0.133, 0.133, 0.602], [0.500, 0.500, 0.500], [0.581, 0.581, 0.757], [0.867, 0.867, 0.398], [0.667, 0.667, 0.999], [0.920, 0.419, 0.243], [0.419, 0.419, 0.243], [0.000, 0.000, 0.000], [0.333, 0.333, 0.001], [0.080, 0.581, 0.757], [0.419, 0.920, 0.243], [0.581, 0.080, 0.757]],
  "vol_a3_per_fu": 166,
  "dos_ef_per_ev_fu": 17.07,
  "ef_kcal_per_mol_atoms": -3.1,
  "dft_energy_ev_per_atom": -6.16
}

=====

{
  "formula": "Y3Ni8Rh",
  "functional": "PBE-GGA",
  "state": "optimized geometry",
  "lattice": [[-2.692, 4.089, 0.999], [-4.986, -0.272, 0.173], [-2.189, -0.432, 8.360]],
  "species": ["Rh", "Ni", "Y", "Ni", "Ni", "Ni", "Ni", "Y", "Y", "Ni", "Ni", "Ni"],
  "fractional_positions": [[0.868, 0.868, 0.395], [0.942, 0.436, 0.187], [0.988, 0.988, 0.036], [0.440, 0.939, 0.682], [0.939, 0.440, 0.682], [0.436, 0.942, 0.187], [0.688, 0.688, 0.936], [0.508, 0.508, 0.475], [0.378, 0.378, 0.867], [0.188, 0.188, 0.435], [0.939, 0.939, 0.682], [0.436, 0.436, 0.187]],
  "vol_a3_per_fu": 176,
  "dos_ef_per_ev_fu": 16.38,
  "ef_kcal_per_mol_atoms": -8.2,
  "dft_energy_ev_per_atom": -6.44
}

=====

{
  "formula": "Y2Ni3Rh",
  "functional": "PBE-GGA",
  "state": "optimized geometry",
  "lattice": [[-2.587, -4.359, 0.339], [0.937, 2.048, -4.554], [5.134, -0.001, 1.054]],
  "species": ["Rh", "Ni", "Ni", "Y", "Y", "Ni"],
  "fractional_positions": [[0.000, 0.000, 0.000], [0.000, 0.000, 0.500], [0.500, 0.500, 0.500], [0.246, 0.623, 0.868], [0.754, 0.377, 0.132], [0.500, 0.000, 0.500]],
  "vol_a3_per_fu": 97,
  "dos_ef_per_ev_fu": 6.24,
  "ef_kcal_per_mol_atoms": -11.9,
  "dft_energy_ev_per_atom": -6.79
}

=====

{
  "formula": "YNiRh",
  "functional": "PBE-GGA",
  "state": "optimized geometry",
  "lattice": [[-2.551, -1.692, -4.035], [-0.070, -5.125, -0.985], [-4.507, -2.529, 0.731]],
  "species": ["Ni", "Ni", "Y", "Rh", "Y", "Rh"],
  "fractional_positions": [[0.000, 0.000, 0.000], [0.500, 0.000, 0.000], [0.121, 0.629, 0.629], [0.500, 0.500, 0.000], [0.879, 0.371, 0.371], [0.500, 0.000, 0.500]],
  "vol_a3_per_fu": 50,
  "dos_ef_per_ev_fu": 2.89,
  "ef_kcal_per_mol_atoms": -13.9,
  "dft_energy_ev_per_atom": -7.13
}

=====

{
  "formula": "YNi2Rh2",
  "functional": "PBE-GGA",
  "state": "optimized geometry",
  "lattice": [[-2.858, 3.832, -5.393], [5.159, -2.387, -4.429], [-1.697, -2.302, -0.736]],
  "species": ["Ni", "Rh", "Rh", "Ni", "Y", "Rh", "Rh", "Ni", "Y", "Ni"],
  "fractional_positions": [[0.169, 0.669, 0.500], [0.129, 0.371, 0.000], [0.629, 0.129, 0.000], [0.669, 0.831, 0.500], [0.500, 0.500, 0.000], [0.871, 0.629, 0.000], [0.371, 0.871, 0.000], [0.831, 0.331, 0.500], [0.000, 0.000, 0.000], [0.331, 0.169, 0.500]],
  "vol_a3_per_fu": 77,
  "dos_ef_per_ev_fu": 7.15,
  "polymorph_energy_mev_per_atom": 97,
  "ef_kcal_per_mol_atoms": -3.2,
  "dft_energy_ev_per_atom": -6.68
}

=====

{
  "formula": "Y2NiRh",
  "functional": "PBE-GGA",
  "state": "optimized geometry",
  "lattice": [[7.162, 0.008, 0.005], [5.991, 3.926, 0.005], [5.991, 1.792, 3.493]],
  "species": ["Ni", "Y", "Rh", "Y"],
  "fractional_positions": [[0.458, 0.458, 0.458], [0.036, 0.036, 0.036], [0.792, 0.792, 0.792], [0.214, 0.214, 0.214]],
  "vol_a3_per_fu": 98,
  "dos_ef_per_ev_fu": 4.28,
  "ef_kcal_per_mol_atoms": -9.9,
  "dft_energy_ev_per_atom": -6.94
}

=====

{
  "formula": "YNi2Rh2",
  "functional": "PBE-GGA",
  "state": "optimized geometry",
  "lattice": [[3.935, 0.000, 0.000], [0.000, 3.935, 0.000], [1.968, 1.968, 5.250]],
  "species": ["Ni", "Y", "Ni", "Rh", "Rh"],
  "fractional_positions": [[0.606, 0.606, 0.789], [0.000, 0.000, 0.000], [0.394, 0.394, 0.211], [0.250, 0.750, 0.500], [0.750, 0.250, 0.500]],
  "vol_a3_per_fu": 81,
  "dos_ef_per_ev_fu": 5.31,
  "polymorph_energy_mev_per_atom": 0,
  "ef_kcal_per_mol_atoms": -5.4,
  "dft_energy_ev_per_atom": -6.78
}

=====

{
  "formula": "Y2NiRh3",
  "functional": "PBE-GGA",
  "state": "optimized geometry",
  "lattice": [[-1.761, 5.085, 0.114], [-1.772, -3.544, 3.643], [6.332, 2.078, 5.101]],
  "species": ["Rh", "Rh", "Y", "Rh", "Ni", "Ni", "Rh", "Y", "Y", "Rh", "Rh", "Y"],
  "fractional_positions": [[0.668, 0.834, 0.250], [0.834, 0.166, 0.750], [0.333, 0.667, 0.937], [0.166, 0.332, 0.250], [0.000, 0.000, 0.500], [0.000, 0.000, 0.000], [0.834, 0.668, 0.750], [0.667, 0.333, 0.437], [0.667, 0.333, 0.063], [0.166, 0.834, 0.250], [0.332, 0.166, 0.750], [0.333, 0.667, 0.563]],
  "vol_a3_per_fu": 105,
  "dos_ef_per_ev_fu": 6.68,
  "ef_kcal_per_mol_atoms": -14.5,
  "dft_energy_ev_per_atom": -7.42
}